SiIrW | Alexandria | GGA-PBE | relaxed; DOS at the Fermi energy = 2.47 states/eV/cell; energy above the lowest structure with this stoichiometry = 147 meV/atom; E = -9.218 eV per atom; calculated density = 15451 kg/m3; E_form (uncorrected) = -138.6 meV/atom
1.0
2.801 0.000 0.000
-1.400 2.425 0.000
0.000 0.000 6.394
Si Ir W
1 1 1
Cartesian
0.000 0.000 0.000
0.000 1.617 4.413
1.400 0.808 2.151